<A>
Here is a relaxed structure of Ba3Al2 from the Alexandria database. Energies are from PBE.

**Crystal system**: trigonal
**Magnetic moment**: 0.184 μB/f.u.

abc: 14.276 14.276 14.276
angles: 17.46 17.46 17.46
Sites, in units of the cell vectors:
Ba1 0.000 0.000 0.000
Ba2 0.785 0.785 0.785
Ba3 0.215 0.215 0.215
Al1 0.395 0.395 0.395
Al2 0.605 0.605 0.605

---

<B>
Here is a relaxed structure of Ba3Al2 from the Alexandria database. Energies are from PBE.

**Crystal system**: orthorhombic
**Magnetic moment**: 0.000 μB/f.u.

abc: 5.336 4.682 8.868
angles: 105.31 90.00 90.00
Sites, in units of the cell vectors:
Ba1 0.000 0.852 0.703
Ba2 0.500 0.500 0.000
Ba3 0.000 0.148 0.297
Al1 0.500 0.713 0.425
Al2 0.500 0.287 0.575

---

<C>
Here is a relaxed structure of Ba3Al2 from the Alexandria database. Energies are from PBE.

**Crystal system**: orthorhombic
**Magnetic moment**: 0.000 μB/f.u.

abc: 14.101 12.218 7.735
angles: 86.89 59.90 33.21
Sites, in units of the cell vectors:
Ba1 0.440 0.808 0.323
Ba2 0.430 0.323 0.808
Ba3 0.442 0.810 0.820
Ba4 0.927 0.820 0.810
Ba5 0.896 0.104 0.104
Ba6 0.146 0.354 0.354
Al1 0.869 0.178 0.587
Al2 0.366 0.587 0.178
Al3 0.072 0.381 0.884
Al4 0.663 0.884 0.381

---

Quick one: most stable of them? <B>

---

<A>
Here is a relaxed structure of Ba4Al5 from the Alexandria database. Energies are from PBE.

**Crystal system**: hexagonal
**Magnetic moment**: 0.000 μB/f.u.

abc: 6.119 6.119 17.951
angles: 90.00 90.00 120.00
Sites, in units of the cell vectors:
Al1 0.667 0.333 0.637
Al2 0.333 0.667 0.137
Al3 0.333 0.667 0.363
Al4 0.667 0.333 0.863
Al5 0.509 0.019 0.250
Al6 0.981 0.490 0.250
Al7 0.509 0.490 0.250
Al8 0.491 0.981 0.750
Al9 0.019 0.510 0.750
Al10 0.491 0.510 0.750
Ba1 0.667 0.333 0.070
Ba2 0.333 0.667 0.570
Ba3 0.333 0.667 0.930
Ba4 0.667 0.333 0.430
Ba5 0.000 0.000 0.144
Ba6 0.000 0.000 0.644
Ba7 0.000 0.000 0.856
Ba8 0.000 0.000 0.356

---

<B>
Here is a relaxed structure of Ba4Al5 from the Alexandria database. Energies are from PBE.

**Crystal system**: tetragonal
**Magnetic moment**: 0.000 μB/f.u.

abc: 9.182 9.182 9.182
angles: 93.33 93.33 152.12
Sites, in units of the cell vectors:
Ba1 0.718 0.000 0.718
Ba2 0.282 0.000 0.282
Ba3 0.000 0.282 0.282
Ba4 0.000 0.718 0.718
Al1 0.000 0.000 0.000
Al2 0.607 0.393 0.000
Al3 0.393 0.607 0.000
Al4 0.393 0.393 0.787
Al5 0.607 0.607 0.213

---

Quick one: most stable of them? <A>